Record 1
The following is a PBE calculation of a relaxed PmSn4Rh2 crystal, from the Alexandria database.

Cell and atoms, written as extended XYZ:
```
28
Lattice="-2.510 -2.599 2.714 5.761 -1.172 4.207 -4.408 14.896 10.186" Properties=species:S:1:pos:R:3 pbc="T T T"
Pm 1.040 6.446 12.776
Pm -2.197 4.680 4.330
Pm -1.537 11.546 11.514
Pm 0.380 -0.420 5.592
Sn -2.083 9.366 8.922
Sn 0.925 1.761 8.185
Sn -0.949 9.142 13.518
Sn -0.208 1.984 3.588
Sn 0.397 8.689 10.567
Sn -1.555 2.438 6.539
Sn -4.339 10.004 11.208
Sn 3.181 1.122 5.898
Sn -2.210 7.125 6.658
Sn 1.053 4.002 10.448
Sn -2.504 11.725 14.553
Sn 1.346 -0.599 2.553
Sn 0.218 5.236 7.096
Sn -1.376 5.891 10.011
Sn 3.454 -2.092 6.835
Sn -4.611 13.218 10.272
Rh 1.335 6.431 9.274
Rh -2.492 4.695 7.833
Rh -4.703 12.144 12.921
Rh 3.545 -1.018 4.185
Rh 1.573 9.915 12.829
Rh -2.731 1.212 4.277
Rh -2.240 8.112 11.338
Rh 1.082 3.014 5.768
```

Computed properties:
- electronic total energy (eV per atom) = -5.702
- offset from the most stable computed form (eV/atom) = 0.000
- crystal system = orthorhombic
- magnetization (μB per cell) = 0.0

Record 2
The following is a PBE calculation of a relaxed TbTmBiSe crystal, from the Alexandria database.

Cell and atoms, written as extended XYZ:
```
4
Lattice="4.159 0.000 0.000 -2.079 3.602 0.000 -2.078 -1.201 7.490" Properties=species:S:1:pos:R:3 pbc="T T T"
Tb 2.473 0.938 2.795
Tm -1.685 0.937 6.446
Bi -1.686 3.339 0.813
Se 0.393 -0.264 4.698
```

Computed properties:
- electronic total energy (eV per atom) = -5.263
- crystal system = trigonal
- magnetization (μB per cell) = 0.6
- ΔE_f (raw) (eV/atom) = -1.15

Record 3
The following is a PBE calculation of a relaxed TiCdAg2 crystal, from the Alexandria database.

Cell and atoms, written as extended XYZ:
```
4
Lattice="-3.207 0.757 -0.529 -0.454 -2.957 -1.478 -1.595 -2.676 5.845" Properties=species:S:1:pos:R:3 pbc="T T T"
Ti -1.831 -1.100 -1.003
Ag -1.221 -2.048 4.474
Ag -0.374 -0.628 1.371
Cd -2.628 -2.438 1.919
```

Computed properties:
- electronic total energy (eV per atom) = -3.582
- crystal system = tetragonal
- magnetization (μB per cell) = 0.9

Record 4
The following is a PBE calculation of a relaxed NaPaAl crystal, from the Alexandria database.

Cell and atoms, written as extended XYZ:
```
6
Lattice="-1.765 0.553 2.485 -1.309 -0.890 -2.662 1.548 -16.602 4.790" Properties=species:S:1:pos:R:3 pbc="T T T"
Al -1.353 0.144 0.937
Al -0.464 -8.648 1.593
Na -0.857 -5.502 2.545
Na -0.360 -10.828 4.082
Pa 0.115 -14.464 3.298
Pa -0.971 -2.811 -0.065
```

Computed properties:
- electronic total energy (eV per atom) = -4.667
- crystal system = orthorhombic
- magnetization (μB per cell) = 0.0